1 | Material: Pb2BrCl
Method: DFT, PBE
State: relaxed

Geometry as extended XYZ:
```
8
Lattice="13.114 0.000 0.000 0.000 3.859 0.000 -0.075 0.000 4.841" Properties=species:S:1:pos:R:3 pbc="T T T"
Pb 0.000 0.000 0.000
Pb 3.035 1.930 0.011
Pb 6.557 1.930 0.000
Pb 9.592 0.000 0.011
Br 6.369 0.000 2.412
Br 12.926 1.930 2.412
Cl 2.966 0.000 2.470
Cl 9.523 1.930 2.470
```

Calculated values
SG   Cm (8)
Volume   245.00 Å³ per cell
DOS at the Fermi energy   0.34 states/eV/atom

2 | Material: Pb2BrCl
Method: DFT, PBE
State: relaxed

Geometry as extended XYZ:
```
8
Lattice="3.806 0.000 0.000 0.000 6.273 0.000 0.000 0.000 10.781" Properties=species:S:1:pos:R:3 pbc="T T T"
Pb 0.000 0.000 0.000
Pb 0.000 3.137 3.259
Pb 1.903 0.000 3.259
Pb 1.903 3.137 0.000
Br 0.000 0.000 5.424
Br 1.903 3.137 5.424
Cl 0.000 3.137 8.777
Cl 1.903 0.000 8.777
```

Calculated values
SG   Cmm2 (35)
Volume   257.40 Å³ per cell
DOS at the Fermi energy   0.43 states/eV/atom

3 | Material: Pb2BrCl
Method: DFT, PBE
State: relaxed

Geometry as extended XYZ:
```
16
Lattice="7.671 0.000 0.000 0.000 7.671 0.000 0.000 0.000 7.671" Properties=species:S:1:pos:R:3 pbc="T T T"
Pb 0.000 0.000 0.000
Pb 0.000 3.836 3.836
Pb 1.918 1.918 1.918
Pb 1.918 5.753 5.753
Pb 3.836 0.000 3.836
Pb 3.836 3.836 0.000
Pb 5.753 1.918 5.753
Pb 5.753 5.753 1.918
Br 1.918 1.918 5.753
Br 1.918 5.753 1.918
Br 5.753 1.918 1.918
Br 5.753 5.753 5.753
Cl 0.000 0.000 3.836
Cl 0.000 3.836 0.000
Cl 3.836 0.000 0.000
Cl 3.836 3.836 3.836
```

Calculated values
SG   F-43m (216)
Volume   451.41 Å³ per cell
DOS at the Fermi energy   1.01 states/eV/atom

Of them, 3 has the lowest stability.

1 | Material: Pb2BrCl
Method: DFT, PBE
State: relaxed

Geometry as extended XYZ:
```
8
Lattice="3.694 0.000 0.000 0.000 4.939 0.000 0.000 0.000 13.951" Properties=species:S:1:pos:R:3 pbc="T T T"
Pb 0.000 0.000 0.000
Pb 0.000 2.470 4.021
Pb 1.847 0.000 10.997
Pb 1.847 2.470 6.975
Br 0.000 2.470 10.459
Br 1.847 0.000 3.484
Cl 0.000 0.000 7.136
Cl 1.847 2.470 0.160
```

Calculated values
SG   Imm2 (44)
Volume   254.56 Å³ per cell
DOS at the Fermi energy   0.62 states/eV/atom

2 | Material: Pb2BrCl
Method: DFT, PBE
State: relaxed

Geometry as extended XYZ:
```
4
Lattice="3.677 0.000 0.000 0.000 4.925 0.000 -0.158 0.000 6.486" Properties=species:S:1:pos:R:3 pbc="T T T"
Pb 0.853 0.000 1.695
Pb 2.667 0.000 4.791
Br 1.839 2.462 0.000
Cl -0.079 2.462 3.243
```

Calculated values
SG   P2/m (10)
Volume   117.46 Å³ per cell
DOS at the Fermi energy   0.46 states/eV/atom

Of them, 1 has the lowest stability.